1.
## SrPRu2 (PBEsol)

Data for a relaxed structure of SrPRu2.

a = 4.1722 Å, b = 4.8028 Å, c = 4.1722 Å
α = 64.26°, β = 90.00°, γ = 115.74°
Last column: nearest neighbours and their distance in Å.
Fractional positions:
P  0.7500  0.5000  0.7500  4 Sr 2.82, 8 Ru 2.82-2.95
Ru  0.0000  0.0000  0.0000  4 Ru 2.82, 4 P 2.82, 4 Sr 2.95
Ru  0.2500  0.5000  0.2500  4 Ru 2.82, 4 Sr 2.82, 4 P 2.95
Sr  0.5000  0.0000  0.5000  4 P 2.82, 8 Ru 2.82-2.95

Crystal system = tetragonal
Total energy = -6.40 eV per atom
DOS at the Fermi energy = 5.52 states/eV/f.u.
Theoretical density = 8.073 g cm⁻³
DFT formation energy = 0.589 eV per atom



2.
## Mn2CuO4 (PBEsol)

Data for a relaxed structure of Mn2CuO4.

a = 5.7350 Å, b = 5.7350 Å, c = 14.5009 Å
α = 90.00°, β = 90.00°, γ = 120.00°
Last column: nearest neighbours and their distance in Å.
Fractional positions:
Mn  0.0000  0.0000  0.0003  4 O 1.95-1.99
Mn  0.8310  0.6619  0.2083  6 O 1.90-1.97
Mn  0.3381  0.1690  0.2083  6 O 1.90-1.97
Mn  0.3333  0.6667  0.3354  4 O 1.94-2.01
Mn  0.8310  0.1690  0.2083  6 O 1.90-1.97
Mn  0.1650  0.3300  0.5450  6 O 1.90-1.97
Mn  0.6700  0.8350  0.5450  6 O 1.90-1.97
Mn  0.1650  0.8350  0.5450  6 O 1.90-1.97
Mn  0.4992  0.9984  0.8706  6 O 1.93-1.95
Mn  0.0016  0.5008  0.8706  6 O 1.93-1.95
Mn  0.3333  0.6667  0.7072  6 O 1.92-1.93
Mn  0.4992  0.5008  0.8706  6 O 1.93-1.95
Cu  0.3333  0.6667  0.0800  4 O 1.96-2.00
Cu  0.6667  0.3333  0.4178  4 O 1.96-1.98
Cu  0.6667  0.3333  0.0391  6 O 2.07
Cu  0.0000  0.0000  0.7487  4 O 1.94
Cu  0.0000  0.0000  0.3768  6 O 2.05-2.07
Cu  0.6667  0.3333  0.6678  4 O 1.95
O  0.5135  0.4865  0.1359  2 Mn 1.90, 2 Cu 1.96-2.07
O  0.9730  0.4865  0.1359  2 Mn 1.90, 2 Cu 1.96-2.07
O  0.6667  0.3333  0.2811  3 Mn 1.94, 1 Cu 1.98
O  0.8465  0.1535  0.4731  2 Mn 1.90, 2 Cu 1.96-2.07
O  0.1541  0.3082  0.2828  3 Mn 1.94, 1 Cu 2.05
O  0.5135  0.0270  0.1359  2 Mn 1.90, 2 Cu 1.96-2.07
O  0.0000  0.0000  0.1373  4 Mn 1.97-1.99
O  0.3071  0.1535  0.4731  2 Mn 1.90, 2 Cu 1.96-2.07
O  0.6918  0.8459  0.2828  3 Mn 1.94, 1 Cu 2.05
O  0.0000  0.0000  0.6151  3 Mn 1.93, 1 Cu 1.94
O  0.1846  0.8154  0.7932  3 Mn 1.93, 1 Cu 1.94
O  0.4821  0.9642  0.6225  3 Mn 1.92-1.94, 1 Cu 1.95
O  0.1541  0.8459  0.2828  3 Mn 1.94, 1 Cu 2.05
O  0.8465  0.6929  0.4731  2 Mn 1.90, 2 Cu 1.96-2.07
O  0.3333  0.6667  0.4738  4 Mn 1.97-2.01
O  0.6308  0.8154  0.7932  3 Mn 1.93, 1 Cu 1.94
O  0.0358  0.5179  0.6225  3 Mn 1.92-1.94, 1 Cu 1.95
O  0.3333  0.6667  0.9424  3 Mn 1.95, 1 Cu 2.00
O  0.1846  0.3692  0.7932  3 Mn 1.93, 1 Cu 1.94
O  0.4821  0.5179  0.6225  3 Mn 1.92-1.94, 1 Cu 1.95
O  0.8223  0.6446  0.9438  3 Mn 1.93-1.95, 1 Cu 2.07
O  0.6667  0.3333  0.8021  3 Mn 1.94, 1 Cu 1.95
O  0.3554  0.1777  0.9438  3 Mn 1.93-1.95, 1 Cu 2.07
O  0.8223  0.1777  0.9438  3 Mn 1.93-1.95, 1 Cu 2.07

Crystal system = trigonal
Total energy = -7.76 eV per atom
DOS at the Fermi energy = 3.72 states/eV/f.u.
Theoretical density = 5.727 g cm⁻³
E_form (uncorrected) = -1355 meV per atom



3.
## Y2MgRu (PBEsol)

Data for a relaxed structure of Y2MgRu.

a = 3.5582 Å, b = 4.6158 Å, c = 5.8064 Å
α = 90.00°, β = 107.84°, γ = 90.00°
Last column: nearest neighbours and their distance in Å.
Fractional positions:
Mg  0.8161  0.0000  0.6322  2 Ru 2.73, 2 Y 2.97
Ru  0.6833  0.5000  0.3667  2 Mg 2.73, 6 Y 3.00-3.05
Y  0.1009  0.0000  0.2019  3 Mg 2.97-3.15, 4 Ru 3.05
Y  0.4018  0.5000  0.8035  3 Ru 3.00-3.11, 4 Mg 3.06

Crystal system = orthorhombic
Total energy = -6.41 eV per atom
DOS at the Fermi energy = 3.73 states/eV/f.u.
Theoretical density = 5.546 g cm⁻³
DFT formation energy = -0.023 eV per atom



4.
## ZrBeAl2 (PBEsol)

Data for a relaxed structure of ZrBeAl2.

a = 2.9079 Å, b = 2.9079 Å, c = 9.0436 Å
α = 80.75°, β = 80.75°, γ = 60.00°
Last column: nearest neighbours and their distance in Å.
Fractional positions:
Be  0.5000  0.5000  0.5000  6 Al 2.56
Al  0.2390  0.2390  0.2831  3 Be 2.56
Al  0.7610  0.7610  0.7169  3 Be 2.56
Zr  0.0000  0.0000  0.0000  6 Zr 2.91, 6 Al 3.02

Crystal system = trigonal
Total energy = -5.22 eV per atom
DOS at the Fermi energy = 2.09 states/eV/f.u.
Theoretical density = 3.935 g cm⁻³
DFT formation energy = 0.096 eV per atom



5.
## In2HgI (PBEsol)

Data for a relaxed structure of In2HgI.

a = 5.4879 Å, b = 5.4879 Å, c = 5.4879 Å
α = 60.00°, β = 60.00°, γ = 60.00°
Last column: nearest neighbours and their distance in Å.
Fractional positions:
I  0.0000  0.0000  0.0000  8 In 3.36
Hg  0.5000  0.5000  0.5000  8 In 3.36
In  0.2500  0.2500  0.2500  4 Hg 3.36, 4 I 3.36
In  0.7500  0.7500  0.7500  4 I 3.36, 4 Hg 3.36

Crystal system = cubic
Total energy = -2.09 eV per atom
DOS at the Fermi energy = 2.89 states/eV/f.u.
Theoretical density = 7.916 g cm⁻³
E_form (uncorrected) = -13 meV per atom



6.
## PIrAu2 (PBEsol)

Data for a relaxed structure of PIrAu2.

a = 2.9159 Å, b = 2.9159 Å, c = 8.6001 Å
α = 80.24°, β = 80.24°, γ = 60.00°
Last column: nearest neighbours and their distance in Å.
Fractional positions:
Au  0.2545  0.2545  0.2364  3 P 2.61, 3 Ir 2.79, 6 Au 2.92
Au  0.7455  0.7455  0.7636  3 P 2.61, 3 Ir 2.79, 6 Au 2.92
Ir  0.5000  0.5000  0.5000  6 Au 2.79, 6 Ir 2.92
P  0.0000  0.0000  0.0000  6 Au 2.61, 6 P 2.92

Crystal system = trigonal
Total energy = -5.46 eV per atom
DOS at the Fermi energy = 2.82 states/eV/f.u.
Theoretical density = 16.502 g cm⁻³
DFT formation energy = 0.405 eV per atom



7.
## AlSi2Te (PBEsol)

Data for a relaxed structure of AlSi2Te.

a = 2.8859 Å, b = 3.6927 Å, c = 7.4716 Å
α = 90.00°, β = 101.16°, γ = 90.00°
Last column: nearest neighbours and their distance in Å.
Fractional positions:
Si  0.8210  0.0000  0.0161  2 Si 2.47, 4 Al 2.68
Si  0.7093  0.5000  0.7930  2 Si 2.47
Te  0.5607  0.0000  0.4986  2 Si 2.84, 2 Te 2.89, 2 Al 2.91
Al  0.4091  0.5000  0.1923  4 Si 2.68, 2 Al 2.89, 2 Te 2.91

Crystal system = orthorhombic
Total energy = -4.57 eV per atom
DOS at the Fermi energy = 1.51 states/eV/f.u.
Theoretical density = 4.480 g cm⁻³
E_form (uncorrected) = 205 meV per atom



8.
## Ba2Zn2P (PBEsol)

Data for a relaxed structure of Ba2Zn2P.

a = 3.8418 Å, b = 3.8418 Å, c = 9.9905 Å
α = 101.09°, β = 101.09°, γ = 90.00°
Last column: nearest neighbours and their distance in Å.
Fractional positions:
P  0.0000  0.0000  0.0000  8 Ba 3.21
Zn  0.2500  0.7500  0.5000  4 Zn 2.72
Zn  0.7500  0.2500  0.5000  4 Zn 2.72
Ba  0.4112  0.4112  0.8225  4 P 3.21, 1 Ba 3.41
Ba  0.5888  0.5888  0.1775  4 P 3.21, 1 Ba 3.41

Crystal system = tetragonal
Total energy = -3.02 eV per atom
DOS at the Fermi energy = 3.73 states/eV/f.u.
Theoretical density = 5.108 g cm⁻³
DFT formation energy = -0.367 eV per atom



9.
## BaYTa2 (PBEsol)

Data for a relaxed structure of BaYTa2.

a = 3.1563 Å, b = 3.1563 Å, c = 11.3699 Å
α = 82.02°, β = 82.02°, γ = 60.00°
Last column: nearest neighbours and their distance in Å.
Fractional positions:
Ba  0.0000  0.0000  0.0000  6 Ba 3.16
Ta  0.2427  0.2427  0.2718  3 Y 3.14, 6 Ta 3.16
Ta  0.7573  0.7573  0.7282  3 Y 3.14, 6 Ta 3.16
Y  0.5000  0.5000  0.5000  6 Ta 3.14, 6 Y 3.16

Crystal system = trigonal
Total energy = -7.60 eV per atom
DOS at the Fermi energy = 4.86 states/eV/f.u.
Theoretical density = 10.086 g cm⁻³
DFT formation energy = 0.915 eV per atom



10.
## NaEuTl2 (PBEsol)

Data for a relaxed structure of NaEuTl2.

a = 5.3514 Å, b = 5.3514 Å, c = 5.3514 Å
α = 60.00°, β = 60.00°, γ = 60.00°
Last column: nearest neighbours and their distance in Å.
Fractional positions:
Eu  0.0000  0.0000  0.0000  8 Tl 3.28
Na  0.5000  0.5000  0.5000  8 Tl 3.28
Tl  0.7500  0.7500  0.7500  4 Na 3.28, 4 Eu 3.28
Tl  0.2500  0.2500  0.2500  4 Na 3.28, 4 Eu 3.28

Crystal system = cubic
Total energy = -4.62 eV per atom
DOS at the Fermi energy = 10.35 states/eV/f.u.
Theoretical density = 8.945 g cm⁻³
DFT formation energy = -0.317 eV per atom